1.
Material: Ca3TlO
Method: DFT, GGA-PBE
State: relaxed

Output
ΔE_f (raw) in eV/atom: -1.278
Size of the total moment in μB/f.u.: 0.00
Electronic total energy in eV/cell: -39.4

abc: 6.0929 3.9279 11.8730
angles: 90.00 90.38 90.00
Fractional positions:
Ca 0.2063 0.0000 0.1817
Ca 0.2145 0.0000 0.6152
Ca 0.2713 0.5000 0.8731
Ca 0.7287 0.5000 0.1269
Ca 0.7855 0.0000 0.3848
Ca 0.7937 0.0000 0.8183
Tl 0.3256 0.5000 0.3914
Tl 0.6744 0.5000 0.6086
O 0.1520 0.0000 0.8011
O 0.8480 0.0000 0.1989

***

2.
Material: Ca2Tl2O5
Method: DFT, GGA-PBE
State: relaxed

Output
ΔE_f (raw) in eV/atom: -1.704
Size of the total moment in μB/f.u.: 0.00
Electronic total energy in eV/cell: -97.7

abc: 5.9327 5.9327 13.6183
angles: 90.00 90.00 146.63
Fractional positions:
Ca 0.0309 0.9691 0.5000
Ca 0.2159 0.7841 0.8515
Ca 0.7841 0.2159 0.3515
Ca 0.9691 0.0309 0.0000
Tl 0.2384 0.7616 0.1253
Tl 0.4882 0.5118 0.7430
Tl 0.5118 0.4882 0.2430
Tl 0.7616 0.2384 0.6253
O 0.1247 0.8753 0.6845
O 0.1620 0.8380 0.2773
O 0.3294 0.6706 0.9890
O 0.4095 0.5905 0.5963
O 0.4282 0.5718 0.3848
O 0.5718 0.4282 0.8848
O 0.5905 0.4095 0.0963
O 0.6706 0.3294 0.4890
O 0.8380 0.1620 0.7773
O 0.8753 0.1247 0.1845

***

3.
Material: Ca2TlO3
Method: DFT, GGA-PBE
State: relaxed

Output
ΔE_f (raw) in eV/atom: -2.032
Size of the total moment in μB/f.u.: 0.00
Electronic total energy in eV/cell: -66.9
Excess energy over the best structure of this formula in the dataset in meV per atom: 101

abc: 7.0681 7.0681 8.3897
angles: 108.84 108.84 27.95
Fractional positions:
Ca 0.1680 0.1680 0.3314
Ca 0.3324 0.3324 0.1687
Ca 0.6676 0.6676 0.8313
Ca 0.8320 0.8320 0.6686
Tl 0.0000 0.0000 0.5000
Tl 0.5000 0.5000 0.0000
O 0.0325 0.0325 0.7662
O 0.2909 0.2909 0.8527
O 0.3538 0.3538 0.4797
O 0.6462 0.6462 0.5203
O 0.7091 0.7091 0.1473
O 0.9675 0.9675 0.2338

***

4.
Material: Ca2TlO3
Method: DFT, GGA-PBE
State: relaxed

Output
ΔE_f (raw) in eV/atom: -2.133
Size of the total moment in μB/f.u.: 0.00
Electronic total energy in eV/cell: -34.0
Excess energy over the best structure of this formula in the dataset in meV per atom: 0

abc: 6.1215 6.1215 6.1215
angles: 146.39 133.71 58.41
Fractional positions:
Ca 0.1685 0.1685 0.0000
Ca 0.8315 0.8315 0.0000
Tl 0.5000 0.5000 0.0000
O 0.0000 0.5000 0.5000
O 0.3143 0.8143 0.5000
O 0.6857 0.1857 0.5000

***

5.
Material: Ca2TlO
Method: DFT, GGA-PBE
State: relaxed

Output
ΔE_f (raw) in eV/atom: -0.454
Size of the total moment in μB/f.u.: 1.40
Electronic total energy in eV/cell: -13.1
Excess energy over the best structure of this formula in the dataset in meV per atom: 1078

abc: 5.1403 5.1403 5.1403
angles: 60.00 60.00 60.00
Fractional positions:
Ca 0.2500 0.2500 0.2500
Ca 0.7500 0.7500 0.7500
Tl 0.0000 0.0000 0.0000
O 0.5000 0.5000 0.5000

***

6.
Material: Ca3TlO
Method: DFT, GGA-PBE
State: relaxed

Output
ΔE_f (raw) in eV/atom: -1.138
Size of the total moment in μB/f.u.: 0.00
Electronic total energy in eV/cell: -38.0

abc: 4.0523 4.0523 19.4350
angles: 90.00 90.00 120.00
Fractional positions:
Ca 0.0000 0.0000 0.2500
Ca 0.0000 0.0000 0.7500
Ca 0.3333 0.6667 0.1200
Ca 0.3333 0.6667 0.3800
Ca 0.6667 0.3333 0.6200
Ca 0.6667 0.3333 0.8800
Tl 0.0000 0.0000 0.0000
Tl 0.0000 0.0000 0.5000
O 0.3333 0.6667 0.2500
O 0.6667 0.3333 0.7500

***

7.
Material: Ca2Tl2O5
Method: DFT, GGA-PBE
State: relaxed

Output
ΔE_f (raw) in eV/atom: -1.642
Size of the total moment in μB/f.u.: 0.00
Electronic total energy in eV/cell: -96.6

abc: 8.9602 8.9602 8.9602
angles: 56.33 140.90 141.11
Fractional positions:
Ca 0.0018 0.1183 0.1200
Ca 0.0018 0.3817 0.3835
Ca 0.9982 0.6183 0.6165
Ca 0.9982 0.8817 0.8800
Tl 0.4705 0.4705 0.0000
Tl 0.4705 0.9705 0.5000
Tl 0.4983 0.2653 0.7330
Tl 0.5323 0.7653 0.2670
O 0.2313 0.5113 0.9996
O 0.2313 0.7318 0.2201
O 0.4978 0.2782 0.3151
O 0.4978 0.6827 0.7195
O 0.5117 0.0113 0.7799
O 0.5117 0.2318 0.0004
O 0.7535 0.6264 0.6271
O 0.9631 0.1827 0.6849
O 0.9631 0.7782 0.2805
O 0.9993 0.1264 0.3729

***

8.
Material: CaTl2O
Method: DFT, GGA-PBE
State: relaxed

Output
ΔE_f (raw) in eV/atom: -0.016
Size of the total moment in μB/f.u.: 0.00
Electronic total energy in eV/cell: -11.8
Excess energy over the best structure of this formula in the dataset in meV per atom: 787

abc: 5.1159 5.1159 5.1159
angles: 60.00 60.00 60.00
Fractional positions:
Ca 0.0000 0.0000 0.0000
Tl 0.2500 0.2500 0.2500
Tl 0.7500 0.7500 0.7500
O 0.5000 0.5000 0.5000

***

9.
Material: Ca3TlO
Method: DFT, GGA-PBE
State: relaxed

Output
ΔE_f (raw) in eV/atom: -1.283
Size of the total moment in μB/f.u.: 0.00
Electronic total energy in eV/cell: -39.5

abc: 6.0763 6.6890 6.5482
angles: 90.00 97.31 90.00
Fractional positions:
Ca 0.2012 0.2500 0.1385
Ca 0.2329 0.5024 0.6348
Ca 0.2329 0.9976 0.6348
Ca 0.7671 0.0024 0.3652
Ca 0.7671 0.4976 0.3652
Ca 0.7988 0.7500 0.8615
Tl 0.3222 0.7500 0.1211
Tl 0.6778 0.2500 0.8789
O 0.0462 0.2500 0.4347
O 0.9538 0.7500 0.5653

***

10.
Material: Ca3TlO
Method: DFT, GGA-PBE
State: relaxed

Output
ΔE_f (raw) in eV/atom: -1.366
Size of the total moment in μB/f.u.: 0.00
Electronic total energy in eV/cell: -40.3

abc: 5.9263 6.8671 6.9429
angles: 61.34 84.10 81.93
Fractional positions:
Ca 0.2056 0.1620 0.1548
Ca 0.2624 0.1556 0.6813
Ca 0.2832 0.6847 0.1487
Ca 0.7168 0.3153 0.8513
Ca 0.7376 0.8444 0.3187
Ca 0.7944 0.8380 0.8452
Tl 0.2547 0.6672 0.6440
Tl 0.7453 0.3328 0.3560
O 0.0000 0.0000 0.0000
O 0.5000 0.0000 0.0000

***

11.
Material: Ca2TlO
Method: DFT, GGA-PBE
State: relaxed

Output
ΔE_f (raw) in eV/atom: -1.232
Size of the total moment in μB/f.u.: 0.00
Electronic total energy in eV/cell: -16.3
Excess energy over the best structure of this formula in the dataset in meV per atom: 301

abc: 3.1776 3.1776 7.9187
angles: 90.00 90.00 90.00
Fractional positions:
Ca 0.0000 0.0000 0.1830
Ca 0.0000 0.0000 0.8170
Tl 0.5000 0.5000 0.5000
O 0.5000 0.5000 0.0000

***

12.
Material: Ca5Tl2O
Method: DFT, GGA-PBE
State: relaxed

Output
ΔE_f (raw) in eV/atom: -0.900
Size of the total moment in μB/f.u.: 0.00
Electronic total energy in eV/cell: -107.6

abc: 8.7575 7.0192 14.4264
angles: 90.00 90.00 90.00
Fractional positions:
Ca 0.0000 0.0000 0.0000
Ca 0.0000 0.5000 0.0000
Ca 0.0212 0.2500 0.1998
Ca 0.1604 0.5010 0.6132
Ca 0.1604 0.9990 0.6132
Ca 0.2085 0.7500 0.3945
Ca 0.2915 0.2500 0.8945
Ca 0.3396 0.0010 0.1132
Ca 0.3396 0.4990 0.1132
Ca 0.4788 0.7500 0.6998
Ca 0.5000 0.0000 0.5000
Ca 0.5000 0.5000 0.5000
Ca 0.5212 0.2500 0.3002
Ca 0.6604 0.5010 0.8868
Ca 0.6604 0.9990 0.8868
Ca 0.7085 0.7500 0.1055
Ca 0.7915 0.2500 0.6055
Ca 0.8396 0.0010 0.3868
Ca 0.8396 0.4990 0.3868
Ca 0.9788 0.7500 0.8002
Tl 0.0262 0.7500 0.2060
Tl 0.1717 0.2500 0.4121
Tl 0.3283 0.7500 0.9121
Tl 0.4738 0.2500 0.7060
Tl 0.5262 0.7500 0.2940
Tl 0.6717 0.2500 0.0879
Tl 0.8283 0.7500 0.5879
Tl 0.9738 0.2500 0.7940
O 0.1689 0.2500 0.0615
O 0.3311 0.7500 0.5615
O 0.6689 0.2500 0.4385
O 0.8311 0.7500 0.9385

***

13.
Material: Ca4TlO5
Method: DFT, GGA-PBE
State: relaxed

Output
ΔE_f (raw) in eV/atom: -2.466
Size of the total moment in μB/f.u.: 0.00
Electronic total energy in eV/cell: -59.8

abc: 6.0332 6.0332 6.0332
angles: 99.19 99.19 132.88
Fractional positions:
Ca 0.1050 0.3036 0.4086
Ca 0.3036 0.8950 0.1986
Ca 0.6964 0.1050 0.8014
Ca 0.8950 0.6964 0.5914
Tl 0.5000 0.5000 0.0000
O 0.0000 0.0000 0.0000
O 0.1828 0.6100 0.7928
O 0.3900 0.1828 0.5728
O 0.6100 0.8172 0.4272
O 0.8172 0.3900 0.2072

***

14.
Material: Ca5Tl2O2
Method: DFT, GGA-PBE
State: relaxed

Output
ΔE_f (raw) in eV/atom: -1.379
Size of the total moment in μB/f.u.: 0.00
Electronic total energy in eV/cell: -74.1

abc: 10.4202 10.4202 10.4202
angles: 140.21 58.12 139.45
Fractional positions:
Ca 0.0000 0.0000 0.5000
Ca 0.0000 0.5000 0.0000
Ca 0.1868 0.0487 0.1380
Ca 0.2418 0.0000 0.7418
Ca 0.2418 0.5000 0.2418
Ca 0.4107 0.0487 0.3620
Ca 0.5893 0.9513 0.6380
Ca 0.7582 0.0000 0.2582
Ca 0.7582 0.5000 0.7582
Ca 0.8132 0.9513 0.8620
Tl 0.1213 0.5017 0.6197
Tl 0.3820 0.5017 0.8803
Tl 0.6180 0.4983 0.1197
Tl 0.8787 0.4983 0.3803
O 0.0000 0.0000 0.0000
O 0.1890 0.9390 0.2500
O 0.5000 0.0000 0.5000
O 0.8110 0.0610 0.7500

***

15.
Material: Ca3TlO
Method: DFT, GGA-PBE
State: relaxed

Output
ΔE_f (raw) in eV/atom: -0.858
Size of the total moment in μB/f.u.: 0.87
Electronic total energy in eV/cell: -35.2

abc: 5.3991 5.3991 9.6800
angles: 90.00 90.00 120.00
Fractional positions:
Ca 0.0000 0.0000 0.2500
Ca 0.0000 0.0000 0.7500
Ca 0.3333 0.6667 0.0689
Ca 0.3333 0.6667 0.4311
Ca 0.6667 0.3333 0.5689
Ca 0.6667 0.3333 0.9311
Tl 0.3333 0.6667 0.7500
Tl 0.6667 0.3333 0.2500
O 0.0000 0.0000 0.0000
O 0.0000 0.0000 0.5000

***

16.
Material: Ca3TlO4
Method: DFT, GGA-PBE
State: relaxed

Output
ΔE_f (raw) in eV/atom: -2.341
Size of the total moment in μB/f.u.: 0.00
Electronic total energy in eV/cell: -46.9
Excess energy over the best structure of this formula in the dataset in meV per atom: 0

abc: 6.0834 6.0834 6.0834
angles: 132.68 132.68 69.16
Fractional positions:
Ca 0.0000 0.0000 0.0000
Ca 0.2500 0.7500 0.5000
Ca 0.7500 0.2500 0.5000
Tl 0.5000 0.5000 0.0000
O 0.0000 0.5000 0.5000
O 0.2333 0.2333 0.0000
O 0.5000 0.0000 0.5000
O 0.7667 0.7667 0.0000

***

17.
Material: Ca9Tl3O2
Method: DFT, GGA-PBE
State: relaxed

Output
ΔE_f (raw) in eV/atom: -1.046
Size of the total moment in μB/f.u.: 1.16
Electronic total energy in eV/cell: -49.7

abc: 7.0208 7.0208 8.6088
angles: 90.00 90.00 120.00
Fractional positions:
Ca 0.0000 0.5000 0.0000
Ca 0.1723 0.3445 0.6753
Ca 0.1723 0.8277 0.6753
Ca 0.3445 0.1723 0.3247
Ca 0.5000 0.0000 0.0000
Ca 0.5000 0.5000 0.0000
Ca 0.6555 0.8277 0.6753
Ca 0.8277 0.1723 0.3247
Ca 0.8277 0.6555 0.3247
Tl 0.0000 0.0000 0.0000
Tl 0.3333 0.6667 0.3373
Tl 0.6667 0.3333 0.6627
O 0.3333 0.6667 0.8356
O 0.6667 0.3333 0.1644

***

18.
Material: Ca3TlO
Method: DFT, GGA-PBE
State: relaxed

Output
ΔE_f (raw) in eV/atom: -0.642
Size of the total moment in μB/f.u.: 0.00
Electronic total energy in eV/cell: -33.1

abc: 9.3243 9.3243 6.5307
angles: 90.00 90.00 128.60
Fractional positions:
Ca 0.0000 0.0000 0.0000
Ca 0.0000 0.0000 0.5000
Ca 0.0722 0.4244 0.2500
Ca 0.4244 0.0722 0.7500
Ca 0.5756 0.9278 0.2500
Ca 0.9278 0.5756 0.7500
Tl 0.1618 0.8382 0.2500
Tl 0.8382 0.1618 0.7500
O 0.3072 0.6928 0.2500
O 0.6928 0.3072 0.7500

***

19.
Material: CaTlO2
Method: DFT, GGA-PBE
State: relaxed

Output
ΔE_f (raw) in eV/atom: -1.653
Size of the total moment in μB/f.u.: 0.00
Electronic total energy in eV/cell: -41.8

abc: 6.6130 6.6130 6.6130
angles: 132.35 132.35 69.67
Fractional positions:
Ca 0.0000 0.0000 0.0000
Ca 0.7500 0.2500 0.5000
Tl 0.2500 0.7500 0.5000
Tl 0.5000 0.5000 0.0000
O 0.1104 0.6250 0.9854
O 0.3750 0.3604 0.4854
O 0.6396 0.1250 0.0146
O 0.8750 0.8896 0.5146

***

20.
Material: Ca3TlO4
Method: DFT, GGA-PBE
State: relaxed

Output
ΔE_f (raw) in eV/atom: -2.298
Size of the total moment in μB/f.u.: 0.00
Electronic total energy in eV/cell: -93.2
Excess energy over the best structure of this formula in the dataset in meV per atom: 44

abc: 4.8215 8.1917 7.1249
angles: 90.00 90.00 90.00
Fractional positions:
Ca 0.2500 0.0004 0.1652
Ca 0.2500 0.2500 0.6689
Ca 0.2500 0.4996 0.1652
Ca 0.7500 0.9996 0.8348
Ca 0.7500 0.5004 0.8348
Ca 0.7500 0.7500 0.3311
Tl 0.2500 0.7500 0.6659
Tl 0.7500 0.2500 0.3341
O 0.2500 0.0144 0.8428
O 0.2500 0.2500 0.3350
O 0.2500 0.4856 0.8428
O 0.2500 0.7500 0.3147
O 0.7500 0.2500 0.6853
O 0.7500 0.5144 0.1572
O 0.7500 0.7500 0.6650
O 0.7500 0.9856 0.1572